Cu2MoW | PBE | relaxed

Properties
The volume is 56 Å³/cell. The raw total energy comes out at -7.78 eV/atom. The total moment is 0.000 μB per atom. The formation energy comes out at 0.21 eV per atom. As for the space-group type: Pm (6). The value obtained for the energy above the most stable polymorph in this dataset is 27 meV/atom.

```
Cu2MoW
1.0
2.614 0.000 0.000
0.000 4.280 0.000
-0.636 0.000 5.037
Cu Mo W
2 1 1
Direct
0.000 0.000 0.000
0.038 0.500 0.245
0.628 0.000 0.485
0.406 0.500 0.764
```

SrAgTe | PBE | relaxed

Properties
The volume is 190 Å³/cell. The raw total energy comes out at -3.40 eV/atom. The total moment is 0.000 μB per atom. The uncorrected formation energy is -0.838 eV per atom. As for the space-group type: Amm2 (38). The value obtained for the energy above the most stable polymorph in this dataset is 83 meV/atom.

```
SrAgTe
1.0
4.448 0.000 0.000
0.000 2.982 7.149
0.000 -2.982 7.149
Sr Ag Te
2 2 2
Direct
0.000 0.000 0.000
0.000 0.301 0.301
0.500 0.386 0.918
0.500 0.918 0.386
0.000 0.559 0.559
0.500 0.830 0.830
```

Fe3Pt6Rh | PBE | relaxed

Properties
The volume is 293 Å³/cell. The raw total energy comes out at -7.07 eV/atom. The total moment is 1.189 μB per atom. The formation energy comes out at -0.17 eV per atom. As for the space-group type: P2_1/m (11).

```
Fe3Pt6Rh
1.0
7.286 0.000 0.000
0.000 4.460 0.000
-3.079 0.000 9.015
Fe Pt Rh
6 12 2
Direct
0.101 0.250 0.236
0.293 0.250 0.033
0.301 0.750 0.369
0.699 0.250 0.631
0.707 0.750 0.967
0.899 0.750 0.764
0.094 0.250 0.732
0.101 0.750 0.070
0.295 0.750 0.866
0.300 0.250 0.532
0.490 0.250 0.329
0.497 0.750 0.163
0.503 0.250 0.837
0.510 0.750 0.671
0.700 0.750 0.468
0.705 0.250 0.134
0.899 0.250 0.930
0.906 0.750 0.268
0.100 0.750 0.567
0.900 0.250 0.433
```

Pr3Y2UN6 | PBE | relaxed

Properties
The volume is 191 Å³/cell. The raw total energy comes out at -8.87 eV/atom. The total moment is 0.000 μB per atom. The uncorrected formation energy is -1.497 eV per atom. As for the space-group type: C2/m (12).

```
Pr3Y2UN6
1.0
3.066 -5.302 0.000
3.066 5.302 0.000
-2.041 0.000 5.888
Pr Y U N
3 2 1 6
Direct
0.000 0.000 0.000
0.332 0.668 0.000
0.668 0.332 0.000
0.166 0.834 0.500
0.834 0.166 0.500
0.500 0.500 0.500
0.118 0.427 0.282
0.263 0.263 0.721
0.427 0.118 0.282
0.573 0.882 0.718
0.737 0.737 0.279
0.882 0.573 0.718
```

LiSmTlCo | PBE | relaxed

Properties
The volume is 77 Å³/cell. The raw total energy comes out at -4.07 eV/atom. The total moment is 0.298 μB per atom. The formation energy comes out at -0.04 eV per atom. As for the space-group type: F-43m (216).

```
LiSmTlCo
1.0
0.000 3.372 3.372
3.372 0.000 3.372
3.372 3.372 0.000
Li Sm Tl Co
1 1 1 1
Direct
0.000 0.000 0.000
0.750 0.750 0.750
0.250 0.250 0.250
0.500 0.500 0.500
```

ZrPW2 | PBE | relaxed

Properties
The volume is 66 Å³/cell. The raw total energy comes out at -9.78 eV/atom. The total moment is 0.000 μB per atom. The formation energy comes out at 0.18 eV per atom. As for the space-group type: I-4m2 (119).

```
ZrPW2
1.0
-2.099 2.099 3.754
2.099 -2.099 3.754
2.099 2.099 -3.754
Zr P W
1 1 2
Direct
0.000 0.000 0.000
0.250 0.750 0.500
0.500 0.500 0.000
0.750 0.250 0.500
```